Computed, not measured: Na2VAgF6 after structural relaxation at the GGA+U level of DFT.

Cell and atoms, written as POSCAR:
```
Na2VAgF6
1.0
5.180 -2.952 0.000
5.180 2.952 0.000
-3.000 0.000 4.835
Na V Ag F
2 1 1 6
direct
0.250 0.250 0.201
0.750 0.750 0.799
0.500 0.500 0.000
0.000 0.000 0.500
0.178 0.649 0.130
0.308 0.308 0.642
0.351 0.822 0.870
0.649 0.178 0.130
0.692 0.692 0.358
0.822 0.351 0.870
```

Calculated values
DOS(E_F) ... 0.00 states/eV per cell
DFT total energy ... -48.89 eV for the cell shown
Crystal system ... monoclinic